A relaxed V2Ge2Mo crystal, computed with PBE.

Output
Crystal system: monoclinic
Formation enthalpy at 0 K: -0.19 eV/atom
Total magnetic moment: 0.00 μB per atom
Calculated total energy: -7.85 eV/atom

Unit cell a=3.254 b=4.628 c=5.400 alpha=87.62 beta=72.47 gamma=69.42
Positions (direct):
Mo: 0.000 0.000 0.000
V: 0.801 0.804 0.594
Ge: 0.587 0.605 0.221
Ge: 0.413 0.395 0.779
V: 0.199 0.196 0.406

---

A relaxed V3Ge2Mo crystal, computed with PBE.

Output
Crystal system: monoclinic
Formation enthalpy at 0 K: -0.16 eV/atom
Total magnetic moment: 0.00 μB per atom
Calculated total energy: -8.06 eV/atom

Unit cell a=3.173 b=8.782 c=7.858 alpha=124.80 beta=90.00 gamma=100.41
Positions (direct):
Mo: 0.112 0.224 0.128
V: 0.636 0.272 0.806
Mo: 0.888 0.776 0.872
Ge: 0.505 0.011 0.183
V: 0.364 0.728 0.194
Ge: 0.752 0.503 0.219
Ge: 0.495 0.989 0.817
Ge: 0.248 0.497 0.781
V: 0.315 0.630 0.533
V: 0.062 0.124 0.482
V: 0.685 0.370 0.467
V: 0.938 0.876 0.518